# 1
First-principles (PBE) data for a relaxed Hg5Sb2Br4 crystal, as listed in Alexandria.

Cell and atoms, written as extended XYZ:
```
11
Lattice="4.767 -4.250 0.000 4.767 4.250 0.000 -3.303 0.000 9.983" Properties=species:S:1:pos:R:3 pbc="T T T"
Hg 0.000 0.000 0.000
Hg 2.423 1.435 2.353
Hg 3.797 1.435 7.630
Hg 2.423 -1.435 2.353
Hg 3.797 -1.435 7.630
Sb -1.101 0.000 8.178
Sb 7.327 0.000 1.801
Br -0.327 0.000 3.691
Br 1.454 0.000 9.982
Br 3.106 0.000 4.993
Br 6.543 0.000 6.294
```

Values from the calculation:
The calculation puts the density at 6.43 Mg/m³. Its space group is Cm. The energy relative to the elements, uncorrected is -2.20 eV/f.u.


# 2
First-principles (PBE) data for a relaxed Hg3SbBr3 crystal, as listed in Alexandria.

Cell and atoms, written as extended XYZ:
```
14
Lattice="13.017 0.000 0.000 -6.508 11.273 0.000 0.000 0.000 3.864" Properties=species:S:1:pos:R:3 pbc="T T T"
Hg -1.140 4.999 0.966
Hg -1.610 9.761 0.966
Hg 3.759 3.486 2.898
Hg 2.749 7.786 0.966
Hg 8.118 1.512 2.898
Hg 7.648 6.274 2.898
Sb 0.000 7.515 0.966
Sb 6.508 3.758 2.898
Br -4.094 7.832 0.966
Br 1.773 3.811 0.966
Br 4.186 0.370 2.898
Br 2.322 10.903 0.966
Br 4.736 7.462 2.898
Br 10.603 3.440 2.898
```

Values from the calculation:
The calculation puts the density at 5.64 Mg/m³. Its space group is P6_3/m. The energy relative to the elements, uncorrected is -1.49 eV/f.u.


# 3
First-principles (PBE) data for a relaxed HgSbBr4 crystal, as listed in Alexandria.

Cell and atoms, written as extended XYZ:
```
12
Lattice="4.489 -8.489 0.000 4.489 8.489 0.000 -2.031 0.000 6.816" Properties=species:S:1:pos:R:3 pbc="T T T"
Hg 2.965 4.258 5.112
Hg 3.981 -4.258 1.704
Sb 3.981 7.405 1.704
Sb 2.965 -7.405 5.112
Br 2.161 5.373 2.414
Br 1.472 0.918 0.951
Br 0.456 -0.918 4.360
Br 5.801 5.373 0.994
Br 1.145 -5.373 5.823
Br 6.490 0.918 2.457
Br 5.475 -0.918 5.865
Br 4.786 -5.373 4.402
```

Values from the calculation:
The calculation puts the density at 4.10 Mg/m³. Its space group is C2/c. The energy relative to the lowest polymorph listed for this composition is 0.016 eV per atom. The energy relative to the elements, uncorrected is -2.49 eV/f.u.


# 4
First-principles (PBE) data for a relaxed HgSb2Br8 crystal, as listed in Alexandria.

Cell and atoms, written as extended XYZ:
```
11
Lattice="7.654 -3.900 0.000 7.654 3.900 0.000 -0.955 0.000 9.625" Properties=species:S:1:pos:R:3 pbc="T T T"
Hg 0.000 0.000 0.000
Sb 2.353 0.000 3.306
Sb 12.000 0.000 6.319
Br -0.019 0.000 7.354
Br 4.073 2.006 7.996
Br 4.752 0.000 4.204
Br 10.280 2.006 1.630
Br 4.073 -2.006 7.996
Br 9.601 0.000 5.421
Br 10.280 -2.006 1.630
Br 14.372 0.000 2.271
```

Values from the calculation:
The calculation puts the density at 3.13 Mg/m³. Its space group is C2/m. The energy relative to the lowest polymorph listed for this composition is 0.000 eV per atom. The energy relative to the elements, uncorrected is -5.80 eV/f.u.


# 5
First-principles (PBE) data for a relaxed HgSbBr2 crystal, as listed in Alexandria.

Cell and atoms, written as extended XYZ:
```
4
Lattice="1.934 -3.369 0.000 1.934 3.369 0.000 0.000 0.000 11.158" Properties=species:S:1:pos:R:3 pbc="T T T"
Hg 0.000 0.000 0.000
Sb 0.000 0.000 5.579
Br 1.934 0.000 3.492
Br 1.934 0.000 7.666
```

Values from the calculation:
The calculation puts the density at 5.51 Mg/m³. Its space group is Cmmm. The energy relative to the lowest polymorph listed for this composition is 0.099 eV per atom. The energy relative to the elements, uncorrected is -0.77 eV/f.u.


# 6
First-principles (PBE) data for a relaxed Hg2SbBr crystal, as listed in Alexandria.

Cell and atoms, written as extended XYZ:
```
4
Lattice="-2.287 2.287 5.192 2.287 -2.287 5.192 2.287 2.287 -5.192" Properties=species:S:1:pos:R:3 pbc="T T T"
Hg 0.000 0.000 0.000
Hg 0.000 2.287 2.596
Sb 2.287 0.000 2.596
Br 0.000 0.000 5.192
```

Values from the calculation:
The calculation puts the density at 9.21 Mg/m³. Its space group is I-4m2. The energy relative to the lowest polymorph listed for this composition is 0.366 eV per atom. The energy relative to the elements, uncorrected is 0.65 eV/f.u.


# 7
First-principles (PBE) data for a relaxed HgSbBr2 crystal, as listed in Alexandria.

Cell and atoms, written as extended XYZ:
```
4
Lattice="3.425 -4.359 0.000 3.425 4.359 0.000 0.000 0.000 3.666" Properties=species:S:1:pos:R:3 pbc="T T T"
Hg 0.000 0.000 0.000
Sb 3.425 0.000 0.000
Br 1.712 2.179 1.833
Br 1.712 -2.179 1.833
```

Values from the calculation:
The calculation puts the density at 7.32 Mg/m³. Its space group is Cmmm. The energy relative to the lowest polymorph listed for this composition is 0.390 eV per atom. The energy relative to the elements, uncorrected is 0.39 eV/f.u.


# 8
First-principles (PBE) data for a relaxed HgSbBr2 crystal, as listed in Alexandria.

Cell and atoms, written as extended XYZ:
```
4
Lattice="-2.140 2.140 6.606 2.140 -2.140 6.606 2.140 2.140 -6.606" Properties=species:S:1:pos:R:3 pbc="T T T"
Hg 0.000 0.000 0.000
Sb 2.140 0.000 3.303
Br 0.000 0.000 6.606
Br 0.000 2.140 3.303
```

Values from the calculation:
The calculation puts the density at 6.62 Mg/m³. Its space group is I-4m2. The energy relative to the lowest polymorph listed for this composition is 0.397 eV per atom. The energy relative to the elements, uncorrected is 0.42 eV/f.u.


# 9
First-principles (PBE) data for a relaxed HgSbBr2 crystal, as listed in Alexandria.

Cell and atoms, written as extended XYZ:
```
4
Lattice="5.588 -2.036 0.000 5.588 2.036 0.000 -5.016 0.000 6.685" Properties=species:S:1:pos:R:3 pbc="T T T"
Hg 0.000 0.000 0.000
Sb 0.444 0.000 4.600
Br -2.157 0.000 4.698
Br 5.830 0.000 2.072
```

Values from the calculation:
The calculation puts the density at 5.26 Mg/m³. Its space group is Cm. The energy relative to the lowest polymorph listed for this composition is 0.077 eV per atom. The energy relative to the elements, uncorrected is -0.86 eV/f.u.


# 10
First-principles (PBE) data for a relaxed Hg2SbBr crystal, as listed in Alexandria.

Cell and atoms, written as extended XYZ:
```
4
Lattice="3.482 0.000 0.000 0.000 5.199 0.000 0.000 0.000 6.067" Properties=species:S:1:pos:R:3 pbc="T T T"
Hg 0.000 0.000 0.000
Hg 1.741 2.599 0.000
Sb 0.000 2.599 3.033
Br 1.741 0.000 3.033
```

Values from the calculation:
The calculation puts the density at 9.11 Mg/m³. Its space group is Pmmm. The energy relative to the lowest polymorph listed for this composition is 0.285 eV per atom. The energy relative to the elements, uncorrected is 0.32 eV/f.u.


# 11
First-principles (PBE) data for a relaxed Hg2Sb2Br crystal, as listed in Alexandria.

Cell and atoms, written as extended XYZ:
```
10
Lattice="8.182 0.000 0.000 0.000 8.182 0.000 0.000 0.000 4.301" Properties=species:S:1:pos:R:3 pbc="T T T"
Hg 1.493 2.598 0.000
Hg 2.598 6.689 0.000
Hg 5.584 1.493 0.000
Hg 6.689 5.584 0.000
Sb 1.017 5.108 2.150
Sb 3.074 1.017 2.150
Sb 5.108 7.164 2.150
Sb 7.164 3.074 2.150
Br 0.000 0.000 2.150
Br 4.091 4.091 2.150
```

Values from the calculation:
The calculation puts the density at 8.36 Mg/m³. Its space group is P4/mbm. The energy relative to the lowest polymorph listed for this composition is 0.059 eV per atom. The energy relative to the elements, uncorrected is 0.37 eV/f.u.


# 12
First-principles (PBE) data for a relaxed Hg2SbBr6 crystal, as listed in Alexandria.

Cell and atoms, written as extended XYZ:
```
18
Lattice="6.646 -6.875 0.000 6.646 6.875 0.000 -2.150 0.000 9.639" Properties=species:S:1:pos:R:3 pbc="T T T"
Hg 1.565 0.396 4.123
Hg 0.490 -0.396 8.943
Hg 10.651 0.396 0.696
Hg 9.576 -0.396 5.516
Sb 5.033 1.162 7.229
Sb 6.108 -1.162 2.410
Br 0.130 0.026 6.327
Br 1.205 -0.026 1.507
Br 3.201 2.808 7.857
Br 4.166 1.303 4.481
Br 6.865 2.808 6.602
Br 3.091 -1.303 9.301
Br 8.050 1.303 0.338
Br 4.276 -2.808 3.038
Br 6.975 -1.303 5.158
Br 7.940 -2.808 1.782
Br 9.937 0.026 8.132
Br 11.012 -0.026 3.312
```

Values from the calculation:
The calculation puts the density at 3.78 Mg/m³. Its space group is C2/c. The energy relative to the lowest polymorph listed for this composition is 0.000 eV per atom. The energy relative to the elements, uncorrected is -3.58 eV/f.u.


The following total moment values (in μB per formula unit) correspond, in order, to the records above: 0.00, 0.00, 0.00, 0.00, 0.00, 0.00, 0.00, 0.62, 0.00, 0.00, 0.00, 0.00.